The following is a GGA-PBE calculation of a relaxed structure of SrY2Pd, from the Alexandria database.

abc: 8.8497 8.8497 6.6826
angles: 90.00 90.00 90.00
Space group I-42d (No. 122)
Symmetry-distinct sites (fractional):
Sr  0.0000  0.0000  0.0000 [4 per cell]
Y  0.1685  0.2500  0.6250 [8 per cell]
Pd  0.0000  0.0000  0.5000 [4 per cell]

volume: 32.7 A^3/atom
crystal system: tetragonal
final energy: -81.6 eV for the cell shown
ΔE_f: -0.152 eV/atom
energy relative to the lowest polymorph listed for this composition: 160.7 meV/atom
M_tot: 1.66 Bohr magnetons per cell